Record 1
# PmYAsO

A geometry-optimized PmYAsO structure (PBE, OQMD via LeMat-Bulk).

```
8
Lattice="-0.8627 -1.7526 3.9534 4.3207 -0.5185 0.7130 0.3679 8.1371 3.6875" Properties=species:S:1:pos:R:3 pbc="T T T"
As 2.2709 2.1867 1.4649
As -0.1740 4.8149 4.5558
O 0.0000 0.0000 0.0000
O 1.7290 -1.1355 2.3332
Pm -0.3925 -0.0179 2.3657
Pm 2.4894 7.0195 3.6550
Y 0.1840 4.0686 1.8438
Y 1.9129 2.9330 4.1770
```

Calculated values
For the total moment, the calculation gives 0.00 μB per atom. Its space group is P4/nmm, No. 129.



Record 2
# PmYAsO

A geometry-optimized PmYAsO structure (PBE, OQMD via LeMat-Bulk).

```
8
Lattice="4.4050 0.0000 0.0000 0.0000 4.4050 0.0000 0.0000 0.0000 8.9813" Properties=species:S:1:pos:R:3 pbc="T T T"
As 3.3038 3.3038 2.6958
As 1.1013 1.1013 6.2855
O 3.3038 1.1013 0.0000
O 1.1013 3.3038 0.0000
Pm 1.1013 1.1013 0.9547
Pm 3.3038 3.3038 8.0266
Y 3.3038 1.1013 4.4907
Y 1.1013 3.3038 4.4907
```

Calculated values
For the total moment, the calculation gives 0.00 μB per atom. Its space group is P4/nmm, No. 129.



Record 3
# PmYAsO

A geometry-optimized PmYAsO structure (PBE, OQMD via LeMat-Bulk).

```
8
Lattice="4.1884 0.0000 0.0000 0.0000 7.9463 0.0000 0.0000 0.0000 5.7807" Properties=species:S:1:pos:R:3 pbc="T T T"
As 0.0000 2.7944 2.5050
As 0.0000 5.1519 5.3953
O 2.0942 6.5455 2.2611
O 2.0942 1.4009 5.1514
Pm 2.0942 0.9381 2.8379
Pm 2.0942 7.0082 5.7283
Y 0.0000 5.6273 2.5353
Y 0.0000 2.3191 5.4256
```

Calculated values
For the total moment, the calculation gives 0.01 μB per atom. Its space group is Pmc2_1, No. 26.



| no. | E (eV per atom) |
| --- | --- |
| 1 | -7.116 |
| 2 | -7.116 |
| 3 | -7.130 |